{
  "formula": "Ba3Mn2As4",
  "functional": "PBE",
  "state": "optimized geometry",
  "spacegroup": "No. 2",
  "formation_energy_ev_per_atom": -0.72,
  "total_energy_ev_per_cell": -49.2,
  "cell": [[-2.983, -0.151, -3.348], [-5.064, -2.956, 4.646], [1.352, 8.653, 1.412]],
  "species": ["Mn", "Mn", "As", "As", "As", "As", "Ba", "Ba", "Ba"],
  "fractional_positions": [[0.671, 0.966, 0.342], [0.329, 0.034, 0.658], [0.477, 0.301, 0.954], [0.792, 0.846, 0.583], [0.523, 0.699, 0.046], [0.208, 0.154, 0.417], [0.139, 0.573, 0.278], [0.000, 0.000, 0.000], [0.861, 0.427, 0.722]]
}

=====

{
  "formula": "Pr2EuPt",
  "functional": "PBE",
  "state": "optimized geometry",
  "spacegroup": "No. 166",
  "formation_energy_ev_per_atom": -0.48,
  "total_energy_ev_per_cell": -27.8,
  "de_polymorph_kj_per_mol_atoms": 0.0,
  "cell": [[-3.319, 2.165, -1.311], [-3.633, -0.317, 2.030], [0.235, 7.992, 5.960]],
  "species": ["Pr", "Pr", "Pt", "Eu"],
  "fractional_positions": [[0.723, 0.723, 0.832], [0.277, 0.277, 0.168], [0.000, 0.000, 0.000], [0.500, 0.500, 0.500]]
}